# 1
## NaHfReO6 (PBE)

Data for a relaxed structure of NaHfReO6.

Geometry as POSCAR:
```
NaHfReO6
1.0
5.338 0.000 0.000
-2.669 4.623 0.000
0.000 0.000 5.170
Na Hf Re O
1 1 1 6
Direct
0.000 0.000 0.000
0.333 0.667 0.498
0.667 0.333 0.501
0.390 0.024 0.708
0.390 0.365 0.291
0.634 0.610 0.708
0.635 0.025 0.291
0.975 0.610 0.291
0.976 0.366 0.708
```

Computed properties:
The crystal system is trigonal. The uncorrected formation energy comes out at -2212 meV/atom. The calculated total energy is -8.15 eV per atom. As for the space group: P3 (143).



# 2
## Na2HfRh2O6 (PBE)

Data for a relaxed structure of Na2HfRh2O6.

Geometry as POSCAR:
```
Na2HfRh2O6
1.0
2.658 -4.666 0.000
2.658 4.666 0.000
-2.015 0.000 5.604
Na Hf Rh O
2 1 2 6
Direct
0.173 0.827 0.000
0.827 0.173 0.000
0.000 0.000 0.500
0.335 0.665 0.500
0.665 0.335 0.500
0.068 0.409 0.698
0.256 0.256 0.298
0.409 0.068 0.698
0.591 0.932 0.302
0.744 0.744 0.702
0.932 0.591 0.302
```

Computed properties:
The crystal system is monoclinic. The uncorrected formation energy comes out at -1737 meV/atom. The calculated total energy is -6.92 eV per atom. As for the space group: C2/m (12).



# 3
## NaHfSO5 (PBE)

Data for a relaxed structure of NaHfSO5.

Geometry as POSCAR:
```
NaHfSO5
1.0
3.613 -4.221 0.000
3.613 4.221 0.000
-3.521 0.000 6.898
Na Hf S O
2 2 2 10
Direct
0.071 0.929 0.750
0.929 0.071 0.250
0.000 0.500 0.000
0.500 0.000 0.500
0.440 0.560 0.750
0.560 0.440 0.250
0.200 0.800 0.250
0.246 0.265 0.088
0.265 0.246 0.588
0.277 0.625 0.877
0.375 0.723 0.623
0.625 0.277 0.377
0.723 0.375 0.123
0.735 0.754 0.412
0.754 0.735 0.912
0.800 0.200 0.750
```

Computed properties:
The crystal system is monoclinic. The uncorrected formation energy comes out at -1956 meV/atom. The calculated total energy is -6.98 eV per atom. As for the space group: C2/c (15).